This record from the Alexandria database describes a relaxed structure of Tb2SmY2Ho. The functional is PBE. Values from VASP.

```
&SYSTEM
  ibrav = 0, nat = 12, ntyp = 4
/
ATOMIC_SPECIES
Tb 158.93 Tb.upf
Sm 150.36 Sm.upf
Y 88.91 Y.upf
Ho 164.93 Ho.upf
CELL_PARAMETERS angstrom
-1.501 -2.933 0.754
0.518 -1.902 -6.367
15.756 -7.184 3.428
ATOMIC_POSITIONS crystal
Tb 0.500 0.261 0.322
Tb 0.000 0.761 0.178
Tb 0.500 0.739 0.678
Tb 0.000 0.239 0.822
Sm 0.500 0.500 0.000
Sm 0.000 0.000 0.500
Y 0.500 0.764 0.349
Y 0.500 0.236 0.651
Y 0.000 0.736 0.849
Y 0.000 0.264 0.151
Ho 0.000 0.000 0.000
Ho 0.500 0.500 0.500
```

## Properties
N(E_F) = 20.38 states/eV per cell
crystal system = orthorhombic
energy = -0.3645 Ry per atom